[1]
Below is a relaxed structure of CuPPd, with properties calculated at the PBE level.

a b c (Å): 5.3866 6.5491 5.4724
angles (deg): 90.00 115.52 90.00
Positions (direct):
1 Cu 0.0879 0.0000 0.4085
2 Cu 0.3825 0.7406 0.7878
3 Cu 0.6175 0.2406 0.2122
4 Cu 0.9121 0.5000 0.5915
5 P 0.1987 0.6114 0.3572
6 P 0.2717 0.0684 0.8694
7 P 0.7283 0.5684 0.1306
8 P 0.8013 0.1114 0.6428
9 Pd 0.0559 0.3110 0.0649
10 Pd 0.4597 0.3436 0.6703
11 Pd 0.5403 0.8436 0.3297
12 Pd 0.9441 0.8110 0.9351

Symmetry   P2_1
DFT formation energy   -0.1329 eV/atom


[2]
Below is a relaxed structure of Cu2PPd2, with properties calculated at the PBE level.

a b c (Å): 6.1606 6.1606 3.9381
angles (deg): 90.00 90.00 90.00
Positions (direct):
1 Cu 0.1447 0.3553 0.0000
2 Cu 0.3553 0.8553 0.0000
3 Cu 0.6447 0.1447 0.0000
4 Cu 0.8553 0.6447 0.0000
5 P 0.0000 0.0000 0.5000
6 P 0.5000 0.5000 0.5000
7 Pd 0.1607 0.6607 0.5000
8 Pd 0.3393 0.1607 0.5000
9 Pd 0.6607 0.8393 0.5000
10 Pd 0.8393 0.3393 0.5000

Symmetry   P4/mbm
DFT formation energy   -0.0419 eV/atom


[3]
Below is a relaxed structure of CuP2Pd7, with properties calculated at the PBE level.

a b c (Å): 10.0870 10.0870 10.0870
angles (deg): 157.34 157.34 32.27
Positions (direct):
1 Cu 0.0000 0.0000 0.0000
2 P 0.3301 0.3301 0.0000
3 P 0.6699 0.6699 0.0000
4 Pd 0.1022 0.6022 0.5000
5 Pd 0.2500 0.7500 0.5000
6 Pd 0.3978 0.8978 0.5000
7 Pd 0.5000 0.5000 0.0000
8 Pd 0.6022 0.1022 0.5000
9 Pd 0.7500 0.2500 0.5000
10 Pd 0.8978 0.3978 0.5000

Symmetry   I4/mmm
DFT formation energy   -0.3535 eV/atom


[4]
Below is a relaxed structure of Cu2P2Pd, with properties calculated at the PBE level.

a b c (Å): 6.0608 6.0608 4.2595
angles (deg): 90.00 90.00 90.00
Positions (direct):
1 Cu 0.2130 0.2870 0.0000
2 Cu 0.2870 0.7870 0.0000
3 Cu 0.7130 0.2130 0.0000
4 Cu 0.7870 0.7130 0.0000
5 P 0.1292 0.3708 0.5000
6 P 0.3708 0.8708 0.5000
7 P 0.6292 0.1292 0.5000
8 P 0.8708 0.6292 0.5000
9 Pd 0.0000 0.0000 0.5000
10 Pd 0.5000 0.5000 0.5000

Symmetry   P4/mbm
DFT formation energy   -0.0877 eV/atom


[5]
Below is a relaxed structure of Cu2P2Pd, with properties calculated at the PBE level.

a b c (Å): 3.8622 3.8622 9.6088
angles (deg): 90.00 90.00 90.00
Positions (direct):
1 Cu 0.0000 0.5000 0.2500
2 Cu 0.0000 0.5000 0.7500
3 Cu 0.5000 0.0000 0.2500
4 Cu 0.5000 0.0000 0.7500
5 P 0.0000 0.0000 0.1101
6 P 0.0000 0.0000 0.8899
7 P 0.5000 0.5000 0.3899
8 P 0.5000 0.5000 0.6101
9 Pd 0.0000 0.0000 0.5000
10 Pd 0.5000 0.5000 0.0000

Symmetry   I4/mmm
DFT formation energy   0.0588 eV/atom


[6]
Below is a relaxed structure of Cu3P2Pd4, with properties calculated at the PBE level.

a b c (Å): 7.0313 7.0313 4.7204
angles (deg): 108.54 108.54 34.98
Positions (direct):
1 Cu 0.0000 0.0000 0.0000
2 Cu 0.1178 0.1178 0.6584
3 Cu 0.8822 0.8822 0.3416
4 P 0.3731 0.3731 0.0960
5 P 0.6269 0.6269 0.9040
6 Pd 0.2185 0.2185 0.2395
7 Pd 0.4331 0.4331 0.6778
8 Pd 0.5669 0.5669 0.3222
9 Pd 0.7815 0.7815 0.7605

Symmetry   C2/m
DFT formation energy   -0.2108 eV/atom


[7]
Below is a relaxed structure of CuPPd, with properties calculated at the PBE level.

a b c (Å): 3.2938 3.2938 7.6431
angles (deg): 90.00 90.00 90.00
Positions (direct):
1 Cu 0.0000 0.0000 0.0000
2 Cu 0.5000 0.5000 0.5000
3 P 0.0000 0.0000 0.6844
4 P 0.5000 0.5000 0.1844
5 Pd 0.0000 0.0000 0.3332
6 Pd 0.5000 0.5000 0.8332

Symmetry   I4mm
DFT formation energy   -0.0925 eV/atom


[8]
Below is a relaxed structure of Cu2PPd, with properties calculated at the PBE level.

a b c (Å): 6.8322 6.8322 4.8640
angles (deg): 90.00 90.00 90.00
Positions (direct):
1 Cu 0.2084 0.7500 0.1250
2 Cu 0.2500 0.2084 0.8750
3 Cu 0.2500 0.2916 0.3750
4 Cu 0.2916 0.7500 0.6250
5 Cu 0.7084 0.2500 0.6250
6 Cu 0.7500 0.7084 0.3750
7 Cu 0.7500 0.7916 0.8750
8 Cu 0.7916 0.2500 0.1250
9 P 0.0000 0.0000 0.0000
10 P 0.0000 0.5000 0.2500
11 P 0.5000 0.0000 0.7500
12 P 0.5000 0.5000 0.5000
13 Pd 0.0000 0.0000 0.5000
14 Pd 0.0000 0.5000 0.7500
15 Pd 0.5000 0.0000 0.2500
16 Pd 0.5000 0.5000 0.0000

Symmetry   I-42d
DFT formation energy   0.0001 eV/atom